# 1
Rb2MnCuCl5 | PBE-GGA | optimized geometry

Unit cell a=4.001 b=19.307 c=13.164 alpha=90.00 beta=90.00 gamma=90.00
Space group Cmc2_1 (No. 36)
One atom of each set of equivalent atoms:
Rb 0.000 0.121 0.000 x4
Rb 0.000 0.126 0.615 x4
Mn 0.000 0.209 0.320 x4
Cu 0.000 0.437 0.747 x4
Cl 0.000 0.077 0.334 x4
Cl 0.000 0.290 0.948 x4
Cl 0.000 0.302 0.687 x4
Cl 0.000 0.336 0.309 x4
Cl 0.000 0.494 0.599 x4

## Properties
E_form (uncorrected): -1.325 eV/atom
energy: -4.040 eV/atom
total magnetization: 20.0 μB per cell



# 2
Tb2CoWN5 | PBE-GGA | optimized geometry

Unit cell a=3.172 b=14.077 c=9.710 alpha=90.00 beta=90.00 gamma=90.00
Space group Cmc2_1 (No. 36)
One atom of each set of equivalent atoms:
Tb 0.000 0.116 0.000 x4
Tb 0.000 0.118 0.624 x4
Co 0.000 0.447 0.758 x4
W 0.000 0.207 0.324 x4
N 0.000 0.023 0.323 x4
N 0.000 0.303 0.964 x4
N 0.000 0.319 0.679 x4
N 0.000 0.338 0.310 x4
N 0.000 0.498 0.581 x4

## Properties
E_form (uncorrected): -0.739 eV/atom
energy: -8.622 eV/atom
total magnetization: 0.0 μB per cell